Computed, not measured: an optimized crystal structure of HoURu at the PBE level of DFT.

Calculated values
Crystal system: trigonal
Energy above the lowest structure with this stoichiometry (meV/atom): 47
ΔH_f (0 K) (meV/atom): -68
V (Å³/f.u.): 71.1
E (Ry per atom): -0.621

a b c (Å): 3.7939 3.7939 11.6122
angles (deg): 80.60 80.60 60.00
Sites, in units of the cell vectors:
Ru 0.5975 0.5975 0.2074
Ru 0.4025 0.4025 0.7926
U 0.3091 0.3091 0.0727
U 0.6909 0.6909 0.9273
Ho 0.8791 0.8791 0.3627
Ho 0.1209 0.1209 0.6373

Computed, not measured: an optimized crystal structure of BaZn3I at the PBE level of DFT.

Calculated values
Crystal system: cubic
Energy above the lowest structure with this stoichiometry (meV/atom): 21
Formation energy (no corrections) (eV per atom): 0.42
V (Å³/f.u.): 288.0
E (Ry per atom): -0.076

a b c (Å): 6.6039 6.6039 6.6039
angles (deg): 90.00 90.00 90.00
Sites, in units of the cell vectors:
I 0.5000 0.5000 0.5000
Zn 0.0000 0.5000 0.0000
Zn 0.0000 0.0000 0.5000
Zn 0.5000 0.0000 0.0000
Ba 0.0000 0.0000 0.0000

Computed, not measured: an optimized crystal structure of PrPaIr at the PBE level of DFT.

Calculated values
Crystal system: hexagonal
Energy above the lowest structure with this stoichiometry (meV/atom): 241
ΔH_f (0 K) (meV/atom): -227
V (Å³/f.u.): 83.2
E (Ry per atom): -0.584

a b c (Å): 4.6331 4.5534 4.5534
angles (deg): 120.00 90.00 90.00
Sites, in units of the cell vectors:
Pr 0.6667 0.6667 0.3333
Pa 0.1669 0.3333 0.6667
Ir 0.1664 0.0000 0.0000

Computed, not measured: an optimized crystal structure of PmPr2Sm2Tm at the PBE level of DFT.

Calculated values
Crystal system: orthorhombic
ΔH_f (0 K) (meV/atom): 58
V (Å³/f.u.): 202.9
E (Ry per atom): -0.341

a b c (Å): 5.7406 7.1102 9.9396
angles (deg): 90.00 90.00 90.00
Sites, in units of the cell vectors:
Pm 0.5000 0.2576 0.6575
Pm 0.5000 0.7576 0.3425
Pr 0.5000 0.0075 0.0000
Pr 0.0000 0.2576 0.1777
Pr 0.5000 0.5075 0.0000
Pr 0.0000 0.7576 0.8223
Sm 0.0000 0.2576 0.8359
Sm 0.5000 0.2576 0.3320
Sm 0.0000 0.7576 0.1641
Sm 0.5000 0.7576 0.6680
Tm 0.0000 0.0077 0.5000
Tm 0.0000 0.5077 0.5000

Computed, not measured: an optimized crystal structure of MgHg4Pb at the PBE level of DFT.

Calculated values
Crystal system: cubic
Energy above the lowest structure with this stoichiometry (meV/atom): 122
ΔH_f (0 K) (meV/atom): 91
V (Å³/f.u.): 157.7
E (Ry per atom): -0.073

a b c (Å): 6.0644 6.0644 6.0644
angles (deg): 60.00 60.00 60.00
Sites, in units of the cell vectors:
Mg 0.7500 0.7500 0.7500
Hg 0.8748 0.3751 0.3751
Hg 0.3751 0.3751 0.8748
Hg 0.3751 0.8748 0.3751
Hg 0.3751 0.3751 0.3751
Pb 0.0000 0.0000 0.0000

Computed, not measured: an optimized crystal structure of In4Hg5Br4 at the PBE level of DFT.

Calculated values
Crystal system: tetragonal
Formation energy (no corrections) (eV per atom): -0.37
V (Å³/f.u.): 461.3
E (Ry per atom): -0.135

a b c (Å): 4.6934 10.1881 10.1881
angles (deg): 86.96 76.68 76.68
Sites, in units of the cell vectors:
In 0.7430 0.3104 0.2036
In 0.2570 0.6896 0.7964
In 0.9466 0.7964 0.3104
In 0.0534 0.2036 0.6896
Hg 0.6562 0.9356 0.7520
Hg 0.3438 0.0644 0.2480
Hg 0.0000 0.0000 0.0000
Hg 0.5918 0.7520 0.0644
Hg 0.4082 0.2480 0.9356
Br 0.8689 0.4989 0.7633
Br 0.6322 0.2367 0.4989
Br 0.1311 0.5011 0.2367
Br 0.3678 0.7633 0.5011

Computed, not measured: an optimized crystal structure of ReBi2PdRh at the PBE level of DFT.

Calculated values
Crystal system: tetragonal
Energy above the lowest structure with this stoichiometry (meV/atom): 188
ΔH_f (0 K) (meV/atom): 1584
V (Å³/f.u.): 124.5
E (Ry per atom): -0.365

a b c (Å): 5.0857 4.8118 5.0857
angles (deg): 90.00 90.00 90.00
Each line ends with the local moment (μB).
Sites, in units of the cell vectors:
Re 0.5000 0.5000 0.5000  2.96
Rh 0.0000 0.5000 0.0000  0.67
Bi 0.0000 0.0000 0.5000  -0.08
Bi 0.5000 0.0000 0.0000  -0.13
Pd 0.0000 0.0000 0.0000  0.10

Computed, not measured: an optimized crystal structure of Tb2PuInN4 at the PBE level of DFT.

Calculated values
Crystal system: monoclinic
Formation energy (no corrections) (eV per atom): -1.02
V (Å³/f.u.): 117.0
E (Ry per atom): -0.623

a b c (Å): 3.4765 5.9734 6.0126
angles (deg): 110.42 90.00 90.00
Each line ends with the local moment (μB).
Sites, in units of the cell vectors:
Tb 0.5000 0.0000 0.5000  0.15
Tb 0.0000 0.5000 0.5000  0.14
Pu 0.5000 0.5000 0.0000  4.68
In 0.0000 0.0000 0.0000  0.01
N 0.5000 0.2486 0.2447  -0.04
N 0.5000 0.7514 0.7553  -0.04
N 0.0000 0.2615 0.7501  -0.11
N 0.0000 0.7385 0.2499  -0.11

Computed, not measured: an optimized crystal structure of CsGa2AgTe4 at the PBE level of DFT.

Calculated values
Crystal system: orthorhombic
Formation energy (no corrections) (eV per atom): -0.26
V (Å³/f.u.): 323.1
E (Ry per atom): -0.224

a b c (Å): 6.7916 7.6976 7.6976
angles (deg): 75.10 63.82 63.82
Sites, in units of the cell vectors:
Cs 0.0000 0.0000 0.0000
Ga 0.1537 0.3463 0.3463
Ga 0.8463 0.6537 0.6537
Ag 0.5000 0.5000 0.5000
Te 0.4474 0.1501 0.4976
Te 0.0950 0.8499 0.5024
Te 0.9050 0.4976 0.1501
Te 0.5526 0.5024 0.8499

Computed, not measured: an optimized crystal structure of Pm6SmHo3Tm2 at the PBE level of DFT.

Calculated values
Crystal system: monoclinic
ΔH_f (0 K) (meV/atom): 14
V (Å³/f.u.): 390.9
E (Ry per atom): -0.341

a b c (Å): 6.2290 6.2290 11.8135
angles (deg): 95.03 95.03 119.99
Sites, in units of the cell vectors:
Pm 0.9161 0.5820 0.7496
Pm 0.7500 0.7500 0.2501
Pm 0.0839 0.4180 0.2504
Pm 0.5820 0.9161 0.7496
Pm 0.2500 0.2500 0.7499
Pm 0.4180 0.0839 0.2504
Sm 0.0000 0.0000 0.0000
Ho 0.1668 0.8332 0.5000
Ho 0.8332 0.1668 0.5000
Ho 0.5000 0.5000 0.5000
Tm 0.3333 0.6667 0.0000
Tm 0.6667 0.3333 0.0000

Computed, not measured: an optimized crystal structure of TbSc2Ti at the PBE level of DFT.

Calculated values
Crystal system: tetragonal
Energy above the lowest structure with this stoichiometry (meV/atom): 22
ΔH_f (0 K) (meV/atom): 162
V (Å³/f.u.): 95.9
E (Ry per atom): -0.451

a b c (Å): 4.6360 4.5482 4.5482
angles (deg): 90.00 90.00 90.00
Each line ends with the local moment (μB).
Sites, in units of the cell vectors:
Sc 0.0000 0.0000 0.5000  0.01
Sc 0.0000 0.5000 0.0000  0.01
Tb 0.5000 0.5000 0.5000  -0.02
Ti 0.5000 0.0000 0.0000  0.34

Computed, not measured: an optimized crystal structure of Zn2GaRu at the PBE level of DFT.

Calculated values
Crystal system: monoclinic
ΔH_f (0 K) (meV/atom): -194
V (Å³/f.u.): 57.4
E (Ry per atom): -0.287

a b c (Å): 4.2248 5.1114 6.9688
angles (deg): 130.27 90.00 90.00
Sites, in units of the cell vectors:
Zn 0.7500 0.3973 0.0239
Zn 0.2500 0.6027 0.9761
Zn 0.2500 0.9403 0.8284
Zn 0.7500 0.0597 0.1716
Ga 0.2500 0.1348 0.4693
Ga 0.7500 0.8652 0.5307
Ru 0.7500 0.5047 0.6802
Ru 0.2500 0.4953 0.3198